Record 1
# KSr2Pm

An optimized crystal structure of KSr2Pm (PBE, Alexandria).

a b c (Å): 14.748 14.748 14.748
angles (deg): 15.30 15.30 15.30
Element x y z (fractional)
K1 0.000 0.000 0.000
Sr1 0.418 0.418 0.418
Sr2 0.582 0.582 0.582
Pm1 0.500 0.500 0.500

Summary:
Offset from the most stable computed form   0.186 eV/atom
N(E_F)   5.4 states/eV per cell
Formation energy from the elements   1.4 eV/f.u.
Space group   No. 166
Calculated total energy   -1.954 eV per atom
V   194.6 Å³ per cell

Record 2
# KSr2Pm

An optimized crystal structure of KSr2Pm (PBE, Alexandria).

a b c (Å): 4.049 4.049 12.477
angles (deg): 90.00 90.00 90.00
Element x y z (fractional)
K1 0.000 0.000 0.000
Sr1 0.500 0.500 0.287
Sr2 0.500 0.500 0.713
Pm1 0.000 0.000 0.500

Summary:
Offset from the most stable computed form   0.000 eV/atom
N(E_F)   7.0 states/eV per cell
Formation energy from the elements   0.6 eV/f.u.
Space group   No. 123
Calculated total energy   -2.141 eV per atom
V   204.6 Å³ per cell

Record 3
# KSr2PmTe4

An optimized crystal structure of KSr2PmTe4 (PBE, Alexandria).

a b c (Å): 8.073 4.705 8.254
angles (deg): 90.00 108.56 90.00
Element x y z (fractional)
K1 0.000 0.000 0.000
Sr1 0.500 0.000 0.500
Sr2 0.500 0.500 0.000
Pm1 0.000 0.500 0.500
Te1 0.239 0.000 0.733
Te2 0.250 0.500 0.269
Te3 0.750 0.500 0.731
Te4 0.761 0.000 0.267

Summary:
Space group   No. 10
Calculated total energy   -4.242 eV per atom
Formation energy (no corrections)   -1.520 eV per atom
V   297.2 Å³ per cell

Record 4
# KSr3Pm2Te6

An optimized crystal structure of KSr3Pm2Te6 (PBE, Alexandria).

a b c (Å): 10.404 10.404 9.443
angles (deg): 102.46 102.46 25.74
Element x y z (fractional)
K1 0.000 0.000 0.000
Sr1 0.000 0.000 0.500
Sr2 0.339 0.339 0.163
Sr3 0.661 0.661 0.837
Pm1 0.334 0.334 0.664
Pm2 0.666 0.666 0.336
Te1 0.171 0.171 0.579
Te2 0.173 0.173 0.102
Te3 0.493 0.493 0.737
Te4 0.507 0.507 0.263
Te5 0.827 0.827 0.898
Te6 0.829 0.829 0.421

Summary:
N(E_F)   3.4 states/eV per cell
Space group   No. 12
Calculated total energy   -4.409 eV per atom
Formation energy (no corrections)   -1.534 eV per atom
V   432.8 Å³ per cell